{
  "formula": "TbHoMgRh",
  "functional": "PBE",
  "state": "optimized geometry",
  "crystal_system": "cubic",
  "space_group": "F-43m, No. 216",
  "formation_energy_ev_per_atom": -0.41,
  "lattice_angstrom": [[-4.775, 1.552, -0.558], [-3.812, -2.992, 1.427], [-2.760, 1.189, 4.060]],
  "species": ["Rh", "Mg", "Tb", "Ho"],
  "frac_coords": [[0.000, 0.000, 0.000], [0.500, 0.500, 0.500], [0.250, 0.250, 0.250], [0.750, 0.750, 0.750]]
}

=====

{
  "formula": "BPSCl2",
  "functional": "PBE",
  "state": "optimized geometry",
  "formation_energy_uncorrected_kj_per_mol_fu": 670,
  "crystal_system": "tetragonal",
  "space_group": "P4/mmm, No. 123",
  "lattice_angstrom": [[-1.074, -3.446, -3.394], [2.249, -3.434, 2.774], [-3.935, -0.863, 2.122]],
  "species": ["P", "S", "B", "Cl", "Cl"],
  "frac_coords": [[0.000, 0.000, 0.500], [0.000, 0.000, 0.000], [0.500, 0.500, 0.500], [0.000, 0.500, 0.000], [0.500, 0.000, 0.000]]
}

=====

{
  "formula": "SmPa2Os9",
  "functional": "PBE",
  "state": "optimized geometry",
  "crystal_system": "trigonal",
  "space_group": "R-3m, No. 166",
  "formation_energy_ev_per_atom": -0.09,
  "lattice_angstrom": [[5.058, 0.000, 1.505], [2.305, 4.502, 1.505], [-0.054, -0.033, 9.433]],
  "species": ["Sm", "Pa", "Pa", "Os", "Os", "Os", "Os", "Os", "Os", "Os", "Os", "Os"],
  "frac_coords": [[0.000, 0.000, 0.000], [0.860, 0.860, 0.419], [0.140, 0.140, 0.581], [0.663, 0.663, 0.011], [0.337, 0.337, 0.989], [0.500, 0.500, 0.500], [0.415, 0.415, 0.247], [0.923, 0.415, 0.247], [0.415, 0.923, 0.247], [0.585, 0.585, 0.753], [0.585, 0.077, 0.753], [0.077, 0.585, 0.753]]
}